No. 1
Computed, not measured: an optimized crystal structure of AlSnP2 at the PBE level of DFT.

a = 7.580 Å, b = 7.580 Å, c = 7.580 Å
α = 30.93°, β = 30.93°, γ = 30.93°
Element x y z (fractional)
Al 0.000 0.000 0.000
Sn 0.500 0.500 0.500
P 0.104 0.104 0.104
P 0.896 0.896 0.896

Space group = R-3m, No. 166
Relative energy among the computed polymorphs = 0.456 eV/atom
M_tot = 0.00 μB/f.u.
VASP energy = -4.332 eV/atom
Volume = 25.5 A^3/atom


No. 2
Computed, not measured: an optimized crystal structure of AlSn3P at the PBE level of DFT.

a = 5.221 Å, b = 5.221 Å, c = 5.221 Å
α = 90.00°, β = 90.00°, γ = 90.00°
Element x y z (fractional)
Al 0.000 0.000 0.000
Sn 0.000 0.000 0.500
Sn 0.000 0.500 0.000
Sn 0.500 0.000 0.000
P 0.500 0.500 0.500

Space group = Pm-3m, No. 221
Relative energy among the computed polymorphs = 0.121 eV/atom
M_tot = 0.00 μB/f.u.
VASP energy = -3.559 eV/atom
Volume = 28.5 A^3/atom


No. 3
Computed, not measured: an optimized crystal structure of AlSnP at the PBE level of DFT.

a = 3.751 Å, b = 3.751 Å, c = 5.209 Å
α = 90.00°, β = 90.00°, γ = 120.00°
Element x y z (fractional)
Al 0.000 0.000 0.000
Sn 0.667 0.333 0.413
P 0.333 0.667 0.788

Space group = P3m1, No. 156
Relative energy among the computed polymorphs = 0.000 eV/atom
M_tot = 0.00 μB/f.u.
VASP energy = -4.470 eV/atom
Volume = 21.2 A^3/atom


No. 4
Computed, not measured: an optimized crystal structure of AlSn4P2 at the PBE level of DFT.

a = 7.702 Å, b = 7.702 Å, c = 7.702 Å
α = 139.26°, β = 139.26°, γ = 58.98°
Element x y z (fractional)
Al 0.000 0.000 0.000
Sn 0.000 0.500 0.500
Sn 0.219 0.219 0.000
Sn 0.500 0.000 0.500
Sn 0.781 0.781 0.000
P 0.414 0.414 0.000
P 0.586 0.586 0.000

Space group = I4/mmm, No. 139
M_tot = 0.00 μB/f.u.
VASP energy = -3.962 eV/atom
Volume = 27.5 A^3/atom


No. 5
Computed, not measured: an optimized crystal structure of AlSnP2 at the PBE level of DFT.

a = 4.682 Å, b = 4.682 Å, c = 4.682 Å
α = 60.00°, β = 60.00°, γ = 60.00°
Element x y z (fractional)
Al 0.000 0.000 0.000
Sn 0.500 0.500 0.500
P 0.250 0.250 0.250
P 0.750 0.750 0.750

Space group = Fm-3m, No. 225
Relative energy among the computed polymorphs = 0.480 eV/atom
M_tot = 0.00 μB/f.u.
VASP energy = -4.309 eV/atom
Volume = 18.1 A^3/atom


No. 6
Computed, not measured: an optimized crystal structure of AlSn3P at the PBE level of DFT.

a = 5.237 Å, b = 5.237 Å, c = 5.237 Å
α = 90.00°, β = 90.00°, γ = 90.00°
Element x y z (fractional)
Al 0.000 0.000 0.000
Sn 0.000 0.500 0.500
Sn 0.500 0.000 0.500
Sn 0.500 0.500 0.000
P 0.500 0.500 0.500

Space group = Pm-3m, No. 221
Relative energy among the computed polymorphs = 0.000 eV/atom
M_tot = 0.00 μB/f.u.
VASP energy = -3.681 eV/atom
Volume = 28.7 A^3/atom


No. 7
Computed, not measured: an optimized crystal structure of AlSnP2 at the PBE level of DFT.

a = 7.034 Å, b = 7.034 Å, c = 7.034 Å
α = 130.41°, β = 130.41°, γ = 72.75°
Element x y z (fractional)
Al 0.000 0.000 0.000
Al 0.750 0.250 0.500
Sn 0.250 0.750 0.500
Sn 0.500 0.500 0.000
P 0.082 0.625 0.957
P 0.375 0.332 0.457
P 0.668 0.125 0.043
P 0.875 0.918 0.543

Space group = I-42d, No. 122
Relative energy among the computed polymorphs = 0.000 eV/atom
M_tot = 0.00 μB/f.u.
VASP energy = -4.788 eV/atom
Volume = 24.6 A^3/atom


No. 8
Computed, not measured: an optimized crystal structure of AlSn2P at the PBE level of DFT.

a = 7.500 Å, b = 7.500 Å, c = 7.500 Å
α = 131.62°, β = 131.62°, γ = 70.84°
Element x y z (fractional)
Al 0.000 0.000 0.000
Al 0.750 0.250 0.500
Sn 0.134 0.625 0.009
Sn 0.375 0.384 0.509
Sn 0.616 0.125 0.991
Sn 0.875 0.866 0.491
P 0.250 0.750 0.500
P 0.500 0.500 0.000

Space group = I-42d, No. 122
Relative energy among the computed polymorphs = 0.000 eV/atom
M_tot = 0.00 μB/f.u.
VASP energy = -4.236 eV/atom
Volume = 28.9 A^3/atom